Density functional theory data (PBE) for crystalline Li2Ni3P2 at its relaxed geometry.

Structure (POSCAR):
```
Li2Ni3P2
1.0
4.7501 3.7934 2.4354
5.9727 2.5016 -0.9762
3.5214 5.4620 -0.8062
Ni Li P
3 2 2
Direct
0.3703 0.3703 0.3703
0.8836 0.8836 0.8836
0.6275 0.6275 0.6275
0.7604 0.7604 0.7604
0.2288 0.2288 0.2288
0.5004 0.5004 0.5004
0.0040 0.0040 0.0040
```

Output
Calculated total energy: -4.99 eV per atom
Symmetry: R3m
Calculated volume: 79.0 Å³/f.u.
Magnetization: 0.00 μB per formula unit